5
Lattice="-1.300 3.683 -0.780 -1.313 0.330 3.745 3.350 1.406 1.051" Properties=species:S:1:pos:R:3 comment="NaMgHF2 (PBE, optimized geometry)" e_tot_ev_per_atom=-4.2037 crystal_system=tetragonal pbc="T T T"
Na 0.369 2.709 2.008
Mg 0.000 0.000 0.000
H 1.675 0.703 0.525
F -0.657 0.165 1.873
F -0.650 1.841 -0.390